Entry from Alexandria via LeMat-Bulk: an optimized crystal structure of ScPt3S (PBE-GGA).

Results
Space-group type = Pm-3m (221)
Energy relative to the lowest polymorph listed for this composition = 1185.4 meV per atom
Formation energy from raw total energies = 4.9 eV per formula unit

a b c (Å): 4.8175 4.8175 4.8175
angles (deg): 90.00 90.00 90.00
Closest atoms and distances in Å follow each position.
Atoms (fractional coordinates):
Sc 0.0000 0.0000 0.0000  6 Pt 2.41
Pt 0.0000 0.0000 0.5000  2 Sc 2.41
Pt 0.0000 0.5000 0.0000  2 Sc 2.41
Pt 0.5000 0.0000 0.0000  2 Sc 2.41
S 0.5000 0.5000 0.5000  12 Pt 3.41



Entry from Alexandria via LeMat-Bulk: an optimized crystal structure of ScPtS (PBE-GGA).

Results
Space-group type = Imm2 (44)
Energy relative to the lowest polymorph listed for this composition = 159.6 meV per atom
Formation energy from raw total energies = -3.5 eV per formula unit

a b c (Å): 8.8327 8.8327 8.8327
angles (deg): 157.73 156.48 32.61
Closest atoms and distances in Å follow each position.
Atoms (fractional coordinates):
Sc 0.0000 0.0000 0.0000  5 Pt 2.71-2.82, 4 S 2.76
Sc 0.6950 0.1950 0.5000  6 S 2.59-2.70
Pt 0.4208 0.4208 0.0000  1 S 2.55, 4 Sc 2.82, 4 Pt 2.83
Pt 0.8399 0.8399 0.0000  2 S 2.48, 1 Sc 2.71
S 0.2390 0.7390 0.5000  2 Pt 2.48, 4 Sc 2.59
S 0.5713 0.5713 0.0000  1 Pt 2.55, 6 Sc 2.70-2.76



Entry from Alexandria via LeMat-Bulk: an optimized crystal structure of Sc6PtSe3S2 (PBE-GGA).

Results
Space-group type = C2/m (12)
Formation energy from raw total energies = -19.3 eV per formula unit

a b c (Å): 8.5725 8.5725 7.7596
angles (deg): 103.13 103.13 25.30
Closest atoms and distances in Å follow each position.
Atoms (fractional coordinates):
Sc 0.0040 0.0040 0.2418  2 Pt 2.64, 1 S 2.67, 3 Se 2.76-2.80
Sc 0.3278 0.3278 0.4290  3 S 2.60, 3 Se 2.77-2.80
Sc 0.3348 0.3348 0.9008  2 S 2.62, 1 Pt 2.69, 3 Se 2.72-2.81
Sc 0.6652 0.6652 0.0992  2 S 2.62, 1 Pt 2.69, 3 Se 2.72-2.81
Sc 0.6722 0.6722 0.5710  3 S 2.60, 3 Se 2.77-2.80
Sc 0.9960 0.9960 0.7582  2 Pt 2.64, 1 S 2.67, 3 Se 2.76-2.80
Pt 0.5000 0.5000 0.0000  6 Sc 2.64-2.69
Se 0.1680 0.1680 0.8317  6 Sc 2.72-2.81
Se 0.5000 0.5000 0.5000  6 Sc 2.76-2.80
Se 0.8320 0.8320 0.1683  6 Sc 2.72-2.81
S 0.1680 0.1680 0.3368  6 Sc 2.60-2.67
S 0.8320 0.8320 0.6632  6 Sc 2.60-2.67



Entry from Alexandria via LeMat-Bulk: an optimized crystal structure of Sc4PtSeS2 (PBE-GGA).

Results
Space-group type = P2/m (10)
Formation energy from raw total energies = -12.6 eV per formula unit

a b c (Å): 6.5610 3.7107 6.6562
angles (deg): 90.00 108.55 90.00
Closest atoms and distances in Å follow each position.
Atoms (fractional coordinates):
Sc 0.2393 0.0000 0.2358  3 S 2.61-2.66, 1 Pt 2.70, 2 Se 2.75
Sc 0.2459 0.5000 0.7573  3 S 2.62-2.67, 2 Pt 2.69, 1 Se 2.74
Sc 0.7541 0.5000 0.2427  3 S 2.62-2.67, 2 Pt 2.69, 1 Se 2.74
Sc 0.7607 0.0000 0.7642  3 S 2.61-2.66, 1 Pt 2.70, 2 Se 2.75
Pt 0.0000 0.0000 0.5000  6 Sc 2.69-2.70
Se 0.5000 0.5000 0.5000  6 Sc 2.74-2.75
S 0.0000 0.5000 0.0000  6 Sc 2.61-2.62
S 0.5000 0.0000 0.0000  6 Sc 2.66-2.67